Arrangement one

## La3ZrIr (PBEsol)

Data for a relaxed La3ZrIr crystal.

Lattice parameters (Å, degrees): 5.3199 5.3199 5.3199 90.00 90.00 90.00
Fractional positions:
La: 0.0000 0.0000 0.5000
La: 0.0000 0.5000 0.0000
La: 0.5000 0.0000 0.0000
Zr: 0.0000 0.0000 0.0000
Ir: 0.5000 0.5000 0.5000

## Properties
The space-group type is Pm-3m, No. 221.



Arrangement two

## La3ZrIr (PBEsol)

Data for a relaxed La3ZrIr crystal.

Lattice parameters (Å, degrees): 5.5250 5.5250 5.5250 90.00 90.00 90.00
Fractional positions:
La: 0.0000 0.0000 0.5000
La: 0.0000 0.5000 0.0000
La: 0.5000 0.0000 0.0000
Zr: 0.5000 0.5000 0.5000
Ir: 0.0000 0.0000 0.0000

## Properties
The space-group type is Pm-3m, No. 221.



Verdict on stability: arrangement one comes out at the bottom.



Arrangement one

## La2ZrIr (PBEsol)

Data for a relaxed La2ZrIr crystal.

Lattice parameters (Å, degrees): 6.2109 6.2109 5.3585 115.10 115.10 33.50
Fractional positions:
La: 0.0000 0.0000 0.0000
La: 0.2078 0.2078 0.7106
Zr: 0.8012 0.8012 0.3037
Ir: 0.4788 0.4788 0.4719

## Properties
The space-group type is Cm, No. 8.



Arrangement two

## La2ZrIr (PBEsol)

Data for a relaxed La2ZrIr crystal.

Lattice parameters (Å, degrees): 5.0124 5.0124 5.0124 60.00 60.00 60.00
Fractional positions:
La: 0.0000 0.0000 0.0000
La: 0.2500 0.2500 0.2500
Zr: 0.5000 0.5000 0.5000
Ir: 0.7500 0.7500 0.7500

## Properties
The space-group type is F-43m, No. 216.



Verdict on stability: arrangement two comes out at the bottom.



Arrangement one

## LiMoIr2 (PBEsol)

Data for a relaxed LiMoIr2 crystal.

Lattice parameters (Å, degrees): 2.8875 2.8875 6.2836 90.00 90.00 90.00
Fractional positions:
Li: 0.0000 0.0000 0.0000
Mo: 0.0000 0.0000 0.5000
Ir: 0.5000 0.5000 0.2275
Ir: 0.5000 0.5000 0.7725

## Properties
The space-group type is P4/mmm, No. 123.



Arrangement two

## LiMoIr2 (PBEsol)

Data for a relaxed LiMoIr2 crystal.

Lattice parameters (Å, degrees): 2.7732 3.5136 5.5586 90.00 90.00 90.00
Fractional positions:
Li: 0.0000 0.0000 0.0000
Mo: 0.0000 0.0000 0.5000
Ir: 0.5000 0.5000 0.2385
Ir: 0.5000 0.5000 0.7615

## Properties
The space-group type is Pmmm, No. 47.



Arrangement three

## LiMoIr2 (PBEsol)

Data for a relaxed LiMoIr2 crystal.

Lattice parameters (Å, degrees): 4.4543 4.4543 4.8217 95.94 95.94 35.33
Fractional positions:
Li: 0.0000 0.0000 0.0000
Mo: 0.5000 0.5000 0.5000
Ir: 0.2483 0.2483 0.7614
Ir: 0.7517 0.7517 0.2386

## Properties
The space-group type is C2/m, No. 12.



Arrangement four

## LiMoIr2 (PBEsol)

Data for a relaxed LiMoIr2 crystal.

Lattice parameters (Å, degrees): 2.6810 3.9815 5.1961 90.00 104.14 90.00
Fractional positions:
Li: 0.0000 0.0000 0.0000
Mo: 0.0000 0.0000 0.5000
Ir: 0.3901 0.5000 0.2346
Ir: 0.6099 0.5000 0.7654

## Properties
The space-group type is P2/m, No. 10.



Verdict on stability: arrangement three comes out at the bottom.



Arrangement one

## LiMoIr2 (PBEsol)

Data for a relaxed LiMoIr2 crystal.

Lattice parameters (Å, degrees): 4.5725 4.5725 2.7301 90.00 90.00 103.94
Fractional positions:
Li: 0.0000 0.0000 0.0000
Mo: 0.5000 0.5000 0.0000
Ir: 0.0000 0.5000 0.5000
Ir: 0.5000 0.0000 0.5000

## Properties
The space-group type is Cmmm, No. 65.



Arrangement two

## LiMoIr2 (PBEsol)

Data for a relaxed LiMoIr2 crystal.

Lattice parameters (Å, degrees): 2.6496 2.6496 9.3133 90.00 90.00 116.96
Fractional positions:
Li: 0.0000 0.0000 0.0000
Mo: 0.5000 0.5000 0.7284
Ir: 0.0000 0.0000 0.4882
Ir: 0.5000 0.5000 0.2326

## Properties
The space-group type is Cmm2, No. 35.



Verdict on stability: arrangement two comes out at the bottom.



Arrangement one

## Li2MoIr (PBEsol)

Data for a relaxed Li2MoIr crystal.

Lattice parameters (Å, degrees): 9.4942 9.4942 9.4942 15.97 15.97 15.97
Fractional positions:
Li: 0.2437 0.2437 0.2437
Li: 0.7563 0.7563 0.7563
Mo: 0.0000 0.0000 0.0000
Ir: 0.5000 0.5000 0.5000

## Properties
The space-group type is R-3m, No. 166.



Arrangement two

## Li2MoIr (PBEsol)

Data for a relaxed Li2MoIr crystal.

Lattice parameters (Å, degrees): 9.9329 9.9329 9.9329 159.43 159.43 29.25
Fractional positions:
Li: 0.1118 0.6250 0.9868
Li: 0.3750 0.3618 0.4868
Li: 0.6382 0.1250 0.0132
Li: 0.8750 0.8882 0.5132
Mo: 0.2500 0.7500 0.5000
Mo: 0.5000 0.5000 0.0000
Ir: 0.0000 0.0000 0.0000
Ir: 0.7500 0.2500 0.5000

## Properties
The space-group type is I-42d, No. 122.



Arrangement three

## Li2MoIr (PBEsol)

Data for a relaxed Li2MoIr crystal.

Lattice parameters (Å, degrees): 5.4037 5.4037 2.7017 103.92 103.92 122.82
Fractional positions:
Li: 0.0000 0.5000 0.0000
Li: 0.5000 0.0000 0.0000
Mo: 0.0000 0.0000 0.5000
Ir: 0.5000 0.5000 0.5000

## Properties
The space-group type is C2/m, No. 12.



Verdict on stability: arrangement two comes out at the bottom.



Arrangement one

## LiNbIr2 (PBEsol)

Data for a relaxed LiNbIr2 crystal.

Lattice parameters (Å, degrees): 4.3188 4.3188 4.3188 60.00 60.00 60.00
Fractional positions:
Li: 0.0000 0.0000 0.0000
Nb: 0.5000 0.5000 0.5000
Ir: 0.2500 0.2500 0.2500
Ir: 0.7500 0.7500 0.7500

## Properties
The space-group type is Fm-3m, No. 225.



Arrangement two

## LiNbIr2 (PBEsol)

Data for a relaxed LiNbIr2 crystal.

Lattice parameters (Å, degrees): 5.5546 5.5546 5.5546 104.09 104.09 120.86
Fractional positions:
Li: 0.0000 0.0000 0.0000
Li: 0.7500 0.2500 0.5000
Nb: 0.2500 0.7500 0.5000
Nb: 0.5000 0.5000 0.0000
Ir: 0.1354 0.1250 0.5104
Ir: 0.3750 0.8646 0.9896
Ir: 0.6146 0.6250 0.4896
Ir: 0.8750 0.3854 0.0104

## Properties
The space-group type is I-42d, No. 122.



Verdict on stability: arrangement two comes out at the bottom.



Arrangement one

## Li2NiIr (PBEsol)

Data for a relaxed Li2NiIr crystal.

Lattice parameters (Å, degrees): 4.0709 4.0709 4.0709 60.00 60.00 60.00
Fractional positions:
Li: 0.0000 0.0000 0.0000
Li: 0.2500 0.2500 0.2500
Ni: 0.5000 0.5000 0.5000
Ir: 0.7500 0.7500 0.7500

## Properties
The space-group type is F-43m, No. 216.



Arrangement two

## Li2NiIr (PBEsol)

Data for a relaxed Li2NiIr crystal.

Lattice parameters (Å, degrees): 4.5306 4.5306 4.4467 100.21 100.21 32.33
Fractional positions:
Li: 0.2445 0.2445 0.2482
Li: 0.7555 0.7555 0.7518
Ni: 0.5000 0.5000 0.0000
Ir: 0.0000 0.0000 0.5000

## Properties
The space-group type is C2/m, No. 12.



Verdict on stability: arrangement one comes out at the bottom.



Arrangement one

## Li2IrOs (PBEsol)

Data for a relaxed Li2IrOs crystal.

Lattice parameters (Å, degrees): 9.0585 9.0585 9.0585 16.66 16.66 16.66
Fractional positions:
Li: 0.2484 0.2484 0.2484
Li: 0.7516 0.7516 0.7516
Ir: 0.5000 0.5000 0.5000
Os: 0.0000 0.0000 0.0000

## Properties
The space-group type is R-3m, No. 166.



Arrangement two

## Li2IrOs (PBEsol)

Data for a relaxed Li2IrOs crystal.

Lattice parameters (Å, degrees): 4.1458 4.1458 4.1458 60.00 60.00 60.00
Fractional positions:
Li: 0.0000 0.0000 0.0000
Li: 0.2500 0.2500 0.2500
Ir: 0.5000 0.5000 0.5000
Os: 0.7500 0.7500 0.7500

## Properties
The space-group type is F-43m, No. 216.



Verdict on stability: arrangement two comes out at the bottom.